LiBeCu2 (PBE, relaxed); SG = R3m; ΔE_f = 0.082 eV per atom
1.0
2.536 0.000 0.000
-1.268 2.196 0.000
0.000 0.000 24.972
Li Be Cu
3 3 6
Direct
0.000 0.000 0.000
0.333 0.667 0.667
0.667 0.333 0.333
0.000 0.000 0.754
0.333 0.667 0.421
0.667 0.333 0.087
0.000 0.000 0.247
0.000 0.000 0.494
0.333 0.667 0.161
0.333 0.667 0.913
0.667 0.333 0.580
0.667 0.333 0.827

***

LiBe2Cu (PBE, relaxed); energy above the most stable polymorph in this dataset = 54 meV/atom; SG = P4/mmm; ΔE_f = 0.083 eV per atom
1.0
3.864 0.000 0.000
0.000 3.864 0.000
0.000 0.000 2.670
Li Be Cu
1 2 1
Direct
0.000 0.000 0.000
0.000 0.500 0.500
0.500 0.000 0.500
0.500 0.500 0.000

***

LiBe2Cu (PBE, relaxed); energy above the most stable polymorph in this dataset = 63 meV/atom; SG = I-4m2; ΔE_f = 0.092 eV per atom
1.0
3.341 0.000 0.000
0.000 3.341 0.000
0.000 0.000 7.179
Li Be Cu
2 4 2
Direct
0.000 0.000 0.000
0.500 0.500 0.500
0.000 0.000 0.500
0.000 0.500 0.750
0.500 0.000 0.250
0.500 0.500 0.000
0.000 0.500 0.250
0.500 0.000 0.750

***

LiBeCu2 (PBE, relaxed); SG = C2/m; ΔE_f = 0.024 eV per atom
1.0
8.371 0.000 0.000
0.000 2.576 0.000
-1.206 0.000 4.209
Li Be Cu
2 2 4
Direct
0.000 0.000 0.000
0.500 0.500 0.000
0.000 0.500 0.500
0.500 0.000 0.500
0.227 0.000 0.732
0.273 0.500 0.268
0.727 0.500 0.732
0.773 0.000 0.268

***

LiBe3Cu (PBE, relaxed); energy above the most stable polymorph in this dataset = 0 meV/atom; SG = Pm-3m; ΔE_f = 0.483 eV per atom
1.0
4.076 0.000 0.000
0.000 4.076 0.000
0.000 0.000 4.076
Li Be Cu
1 3 1
Direct
0.000 0.000 0.000
0.000 0.500 0.500
0.500 0.000 0.500
0.500 0.500 0.000
0.500 0.500 0.500

***

LiBeCu2 (PBE, relaxed); SG = I-42d; ΔE_f = 0.313 eV per atom
1.0
3.455 0.000 0.000
0.000 3.455 0.000
0.000 0.000 16.412
Li Be Cu
4 4 8
Direct
0.000 0.000 0.000
0.000 0.500 0.250
0.500 0.000 0.750
0.500 0.500 0.500
0.000 0.000 0.500
0.000 0.500 0.750
0.500 0.000 0.250
0.500 0.500 0.000
0.237 0.250 0.625
0.250 0.737 0.875
0.250 0.763 0.375
0.263 0.250 0.125
0.737 0.750 0.125
0.750 0.237 0.375
0.750 0.263 0.875
0.763 0.750 0.625

***

LiBeCu2 (PBE, relaxed); SG = Cmmm; ΔE_f = -0.022 eV per atom
1.0
5.536 0.000 0.000
0.000 5.736 0.000
0.000 0.000 2.714
Li Be Cu
2 2 4
Direct
0.000 0.000 0.000
0.500 0.500 0.000
0.000 0.500 0.000
0.500 0.000 0.000
0.250 0.250 0.500
0.250 0.750 0.500
0.750 0.250 0.500
0.750 0.750 0.500

***

Li2BeCu (PBE, relaxed); SG = P4/mmm; ΔE_f = 0.199 eV per atom
1.0
3.038 0.000 0.000
0.000 3.038 0.000
0.000 0.000 5.228
Li Be Cu
2 1 1
Direct
0.000 0.000 0.245
0.000 0.000 0.755
0.500 0.500 0.000
0.500 0.500 0.500